A plane-wave DFT calculation with meta-GGA SCAN was carried out for a crystal of AlCrCd relaxed with PBEsol.

For the final energy, the calculation gives -1.3803 Ry per atom.

It has space group I4mm (No. 107), with a = 2.944 Å, b = 2.944 Å, c = 11.200 Å, α = 90.00°, β = 90.00° and γ = 90.00°. The inequivalent atoms are Al at (0.000, 0.000, 0.000), Cr at (0.000, 0.000, 0.367) and Cd at (0.000, 0.000, 0.694).



A plane-wave DFT calculation with meta-GGA SCAN was carried out for a crystal of ScBeAl2 relaxed with PBEsol.

For the final energy, the calculation gives -0.6075 Ry per atom.

It has space group I-42d (No. 122), with a = 3.841 Å, b = 3.841 Å, c = 18.890 Å, α = 90.00°, β = 90.00° and γ = 90.00°. The inequivalent atoms are Sc at (0.000, 0.000, 0.000), Be at (0.000, 0.000, 0.500) and Al at (0.236, 0.250, 0.625).



A plane-wave DFT calculation with meta-GGA SCAN was carried out for a crystal of CoTcRu relaxed with PBEsol.

For the offset from the most stable computed form, the calculation gives 0.000 eV/atom.

It has space group Imm2 (No. 44), with a = 2.618 Å, b = 3.677 Å, c = 7.782 Å, α = 90.00°, β = 90.00° and γ = 90.00°. The inequivalent atoms are Co at (0.000, 0.000, 0.000), Tc at (0.000, 0.000, 0.336) and Ru at (0.000, 0.000, 0.663).



A plane-wave DFT calculation with meta-GGA SCAN was carried out for a crystal of LaCo2Ru relaxed with PBEsol.

For the final energy, the calculation gives -2.0353 Ry per atom.

It has space group Cmmm (No. 65), with a = 5.544 Å, b = 7.400 Å, c = 2.851 Å, α = 90.00°, β = 90.00° and γ = 90.00°. The inequivalent atoms are La at (0.000, 0.000, 0.000), Co at (0.250, 0.250, 0.500) and Ru at (0.000, 0.500, 0.000).



A plane-wave DFT calculation with meta-GGA SCAN was carried out for a crystal of SbOs2Se relaxed with PBEsol.

For the offset from the most stable computed form, the calculation gives 0.206 eV/atom. The calculation puts the formation energy from raw total energies at 3.473 eV per formula unit.

It has space group Cmm2 (No. 35), with a = 2.877 Å, b = 5.069 Å, c = 9.941 Å, α = 90.00°, β = 90.00° and γ = 90.00°. The inequivalent atoms are Sb at (0.000, 0.000, 0.000), Os at (0.000, 0.000, 0.545), Os at (0.000, 0.500, 0.762) and Se at (0.000, 0.500, 0.332).



A plane-wave DFT calculation with meta-GGA SCAN was carried out for a crystal of Na2ZnBr4 relaxed with PBEsol.

The calculation puts the formation energy from raw total energies at -10.007 eV per formula unit.

It has space group Pnma (No. 62), with a = 14.356 Å, b = 8.494 Å, c = 6.720 Å, α = 90.00°, β = 90.00° and γ = 90.00°. The inequivalent atoms are Na at (0.000, 0.000, 0.000), Na at (0.231, 0.250, 0.489), Zn at (0.091, 0.750, 0.404), Br at (0.064, 0.250, 0.737), Br at (0.092, 0.750, 0.758) and Br at (0.168, 0.525, 0.255).



A plane-wave DFT calculation with meta-GGA SCAN was carried out for a crystal of Ga2HgTe4 relaxed with PBEsol.

For the offset from the most stable computed form, the calculation gives 0.000 eV/atom. The calculation puts the formation energy from raw total energies at -2.139 eV per formula unit.

It has space group I-4 (No. 82), with a = 6.087 Å, b = 6.087 Å, c = 11.797 Å, α = 90.00°, β = 90.00° and γ = 90.00°. The inequivalent atoms are Ga at (0.000, 0.000, 0.000), Ga at (0.000, 0.500, 0.250), Hg at (0.000, 0.500, 0.750) and Te at (0.218, 0.755, 0.391).



A plane-wave DFT calculation with meta-GGA SCAN was carried out for a crystal of HfCo2RuI relaxed with PBEsol.

The calculation puts the formation energy from raw total energies at 4.708 eV per formula unit.

It has space group P4/mmm (No. 123), with a = 4.553 Å, b = 4.553 Å, c = 4.837 Å, α = 90.00°, β = 90.00° and γ = 90.00°. The inequivalent atoms are Hf at (0.000, 0.000, 0.000), Co at (0.000, 0.500, 0.500), Ru at (0.000, 0.000, 0.500) and I at (0.500, 0.500, 0.000).